! Ho5TmHg6, relaxed, DFT PBE; values from VASP
! V = 304 Å³/f.u.
! E_form = -0.481 eV/atom
! final energy = -2.91 eV per atom
&SYSTEM
  ibrav = 0, nat = 12, ntyp = 3
/
ATOMIC_SPECIES
Tm 168.93 Tm.upf
Ho 164.93 Ho.upf
Hg 200.59 Hg.upf
CELL_PARAMETERS angstrom
4.951 -0.030 1.650
0.040 7.414 0.013
-0.011 -0.015 8.285
ATOMIC_POSITIONS angstrom
Tm 0.000 0.000 0.000
Ho 3.316 3.677 6.621
Ho 1.649 -0.015 3.304
Ho 0.020 3.707 0.007
Ho 3.290 -0.030 6.631
Ho 1.664 3.692 3.327
Hg 4.155 5.542 4.137
Hg 4.135 1.812 4.131
Hg 2.485 1.827 0.828
Hg 2.505 5.557 0.835
Hg 0.845 5.557 5.817
Hg 0.825 1.827 5.811